## YZrAs (PBE)

Data for a relaxed structure of YZrAs.

Lattice parameters (Å, degrees): 4.6781 4.6781 4.6781 60.00 60.00 60.00
Last column: nearest neighbours and their distance in Å.
Element x y z (fractional)
Y 0.0000 0.0000 0.0000  4 As 2.86
Zr 0.5000 0.5000 0.5000  4 As 2.86
As 0.7500 0.7500 0.7500  4 Zr 2.86, 4 Y 2.86

ΔE_f: -176 kJ/mol of formula units
DFT total energy: -0.263 hartree per atom
SG: F-43m, No. 216